A relaxed PrSm3Tm crystal, computed with PBE.

The structure in CIF format:
```
data_PrSm3Tm
_chemical_formula_sum 'Pr4 Sm12 Tm4'
_symmetry_space_group_name_H-M 'P 1 21/c 1'
_symmetry_Int_Tables_number 14
_cell_length_a 9.7310
_cell_length_b 6.1792
_cell_length_c 11.7681
_cell_angle_alpha 90.00
_cell_angle_beta 108.31
_cell_angle_gamma 90.00
loop_
_symmetry_equiv_pos_as_xyz
'x,y,z'
'-x,-y,-z'
'-x,y+1/2,-z+1/2'
'x,-y+1/2,z+1/2'
loop_
_atom_site_label
_atom_site_type_symbol
_atom_site_fract_x
_atom_site_fract_y
_atom_site_fract_z
Pr1 Pr 0.1960 0.1378 0.1730
Sm1 Sm 0.0065 0.1723 0.3800
Sm2 Sm 0.3969 0.6223 0.2237
Sm3 Sm 0.4037 0.2379 0.4765
Tm1 Tm 0.2062 0.7094 0.4293
```

Calculated values
Crystal system: monoclinic
Energy of formation from the pure elements, eV/f.u.: 0.31
Spin magnetization, μB per cell: 0.00
E above lowest polymorph, eV per atom: 0.000